## InFe2PbO6 (PBE with a Hubbard U)

Data for crystalline InFe2PbO6 at its relaxed geometry.

POSCAR file:
```
InFe2PbO6
1.0
2.737 1.580 4.736
-2.737 1.580 4.736
0.000 -3.161 4.736
In Fe Pb O
1 2 1 6
direct
0.000 0.000 0.000 In
0.286 0.286 0.286 Fe
0.782 0.782 0.782 Fe
0.510 0.510 0.510 Pb
0.061 0.667 0.418 O
0.138 0.568 0.947 O
0.418 0.061 0.667 O
0.568 0.947 0.138 O
0.667 0.418 0.061 O
0.947 0.138 0.568 O
```

Raw total energy, eV per atom: -6.0383